Compound: KFeAs2O6
Source: Alexandria
Functional: PBE+U
Structure: relaxed

```
KFeAs2O6
1.0
7.201 0.114 0.119
2.365 6.699 0.229
2.365 -0.020 6.702
O As Fe K
12 4 2 2
Direct
0.725 0.751 0.991
0.275 0.249 0.009
0.184 0.623 0.709
0.816 0.377 0.291
0.316 0.291 0.377
0.049 0.612 0.218
0.451 0.782 0.388
0.951 0.388 0.782
0.225 0.991 0.751
0.549 0.218 0.612
0.775 0.009 0.249
0.684 0.709 0.623
0.377 0.752 0.650
0.623 0.248 0.350
0.877 0.650 0.752
0.123 0.350 0.248
0.750 0.736 0.264
0.250 0.264 0.736
0.750 0.135 0.865
0.250 0.865 0.135
```

Summary:
Final energy ... -5.874 eV/atom
SG ... C2/c (15)